## CsAgPd3 (PBE)

Data for CsAgPd3 after structural relaxation.

Cell: 5.141 5.141 5.141 Å, 90.00 90.00 90.00°
Positions (direct):
Cs (0.000, 0.000, 0.000)
Ag (0.500, 0.500, 0.500)
Pd (0.000, 0.500, 0.500)
Pd (0.500, 0.000, 0.500)
Pd (0.500, 0.500, 0.000)

The energy above the lowest structure with this stoichiometry is 0.000 eV/atom. The energy relative to the elements is 0.5941 eV per atom. For the total energy, the calculation gives -3.26 eV/atom.

***

## Cs2Ag2Pd (PBE)

Data for Cs2Ag2Pd after structural relaxation.

Cell: 11.286 11.286 11.286 Å, 24.54 24.54 24.54°
Positions (direct):
Cs (0.076, 0.076, 0.076)
Cs (0.924, 0.924, 0.924)
Ag (0.177, 0.177, 0.177)
Ag (0.823, 0.823, 0.823)
Pd (0.500, 0.500, 0.500)

The energy above the lowest structure with this stoichiometry is 0.000 eV/atom. The energy relative to the elements is -0.0168 eV per atom. For the total energy, the calculation gives -2.54 eV/atom.

***

## Cs2AgPd2 (PBE)

Data for Cs2AgPd2 after structural relaxation.

Cell: 7.267 7.267 5.637 Å, 90.00 90.00 90.00°
Positions (direct):
Cs (0.183, 0.317, 0.000)
Cs (0.317, 0.817, 0.000)
Cs (0.683, 0.183, 0.000)
Cs (0.817, 0.683, 0.000)
Ag (0.000, 0.000, 0.500)
Ag (0.500, 0.500, 0.500)
Pd (0.131, 0.631, 0.500)
Pd (0.369, 0.131, 0.500)
Pd (0.631, 0.869, 0.500)
Pd (0.869, 0.369, 0.500)

The energy above the lowest structure with this stoichiometry is 0.220 eV/atom. The energy relative to the elements is 0.1707 eV per atom. For the total energy, the calculation gives -2.82 eV/atom.

***

## CsAg2Pd2 (PBE)

Data for CsAg2Pd2 after structural relaxation.

Cell: 6.688 6.688 6.688 Å, 139.52 139.52 58.59°
Positions (direct):
Cs (0.000, 0.000, 0.000)
Ag (0.376, 0.376, 0.000)
Ag (0.624, 0.624, 0.000)
Pd (0.250, 0.750, 0.500)
Pd (0.750, 0.250, 0.500)

The energy above the lowest structure with this stoichiometry is 0.052 eV/atom. The energy relative to the elements is 0.2336 eV per atom. For the total energy, the calculation gives -3.15 eV/atom.

***

## CsAg2Pd2 (PBE)

Data for CsAg2Pd2 after structural relaxation.

Cell: 8.492 8.492 3.064 Å, 90.00 90.00 90.00°
Positions (direct):
Cs (0.000, 0.000, 0.000)
Cs (0.500, 0.500, 0.000)
Ag (0.122, 0.378, 0.000)
Ag (0.378, 0.878, 0.000)
Ag (0.622, 0.122, 0.000)
Ag (0.878, 0.622, 0.000)
Pd (0.166, 0.666, 0.500)
Pd (0.334, 0.166, 0.500)
Pd (0.666, 0.834, 0.500)
Pd (0.834, 0.334, 0.500)

The energy above the lowest structure with this stoichiometry is 0.025 eV/atom. The energy relative to the elements is 0.2063 eV per atom. For the total energy, the calculation gives -3.18 eV/atom.

***

## Cs3Ag4Pd2 (PBE)

Data for Cs3Ag4Pd2 after structural relaxation.

Cell: 6.879 6.879 9.708 Å, 107.99 107.99 41.36°
Positions (direct):
Cs (0.000, 0.000, 0.000)
Cs (0.374, 0.374, 0.632)
Cs (0.626, 0.626, 0.368)
Ag (0.086, 0.086, 0.636)
Ag (0.238, 0.238, 0.920)
Ag (0.762, 0.762, 0.080)
Ag (0.914, 0.914, 0.364)
Pd (0.331, 0.331, 0.224)
Pd (0.669, 0.669, 0.776)

The energy relative to the elements is 0.0225 eV per atom. For the total energy, the calculation gives -2.68 eV/atom.